(1)
Compound: BaCo2Au
Source: the Alexandria database
Functional: PBE
Structure: relaxed

**N(E_F)**: 9.5 states/eV per cell
**E_tot**: -35.44 eV per cell
**Energy relative to the elements**: 0.4232 eV/atom

a b c (Å): 3.8202 5.7899 8.4410
angles (deg): 90.00 90.00 90.00
Closest atoms and distances in Å follow each position.
Space group Imm2 (No. 44)
Asymmetric unit:
Ba  0.0000  0.0000  0.0000 x2  8 Co 3.23-3.48, 4 Au 3.27-3.31
Co  0.0000  0.0000  0.4695 x2  2 Co 2.24
Co  0.0000  0.5000  0.8303 x2  2 Co 2.24
Au  0.0000  0.5000  0.1801 x2  2 Co 2.61

(2)
Compound: BaCo2Au
Source: the Alexandria database
Functional: PBE
Structure: relaxed

**N(E_F)**: 6.6 states/eV per cell
**E_tot**: -16.48 eV per cell
**Energy relative to the elements**: 0.7323 eV/atom

a b c (Å): 4.6680 3.6231 4.9979
angles (deg): 90.00 105.91 90.00
Closest atoms and distances in Å follow each position.
Space group P2/m (No. 10)
Asymmetric unit:
Ba  0.0000  0.0000  0.0000 x1  6 Co 2.91-2.95, 4 Au 3.09
Co  0.5000  0.0000  0.5000 x1  2 Ba 2.91, 4 Au 2.95, 4 Co 3.09
Co  0.5000  0.5000  0.0000 x1  2 Au 2.91, 4 Ba 2.95, 4 Co 3.09
Au  0.0000  0.5000  0.5000 x1  6 Co 2.91-2.95, 4 Ba 3.09

(3)
Compound: BaCoCu2Au
Source: the Alexandria database
Functional: PBE
Structure: relaxed

**N(E_F)**: 10.0 states/eV per cell
**E_tot**: -11.74 eV per cell
**Energy relative to the elements**: 1.7520 eV/atom

a b c (Å): 5.6527 5.6527 5.9435
angles (deg): 90.00 90.00 90.00
Closest atoms and distances in Å follow each position.
Space group P4/mmm (No. 123)
Asymmetric unit:
Ba  0.0000  0.0000  0.0000 x1  4 Cu 2.83, 2 Au 2.97
Co  0.5000  0.5000  0.5000 x1  4 Au 4.00, 8 Cu 4.10
Cu  0.0000  0.5000  0.0000 x2  2 Ba 2.83
Au  0.0000  0.0000  0.5000 x1  2 Ba 2.97

(4)
Compound: BaFeCo2Au
Source: the Alexandria database
Functional: PBE
Structure: relaxed

**N(E_F)**: 7.9 states/eV per cell
**E_tot**: -23.63 eV per cell
**Energy relative to the elements**: 0.8498 eV/atom

a b c (Å): 4.9041 4.9041 4.8998
angles (deg): 90.00 90.00 90.00
Closest atoms and distances in Å follow each position.
Space group P4/mmm (No. 123)
Asymmetric unit:
Ba  0.0000  0.0000  0.0000 x1  8 Co 3.47, 4 Fe 3.47
Fe  0.5000  0.5000  0.0000 x1  2 Au 2.45
Co  0.0000  0.5000  0.5000 x2  2 Au 2.45
Au  0.5000  0.5000  0.5000 x1  2 Fe 2.45, 4 Co 2.45

(5)
Compound: BaMn2CoAu
Source: the Alexandria database
Functional: PBE
Structure: relaxed

**N(E_F)**: 2.8 states/eV per cell
**E_tot**: -27.47 eV per cell
**Energy relative to the elements**: 0.6355 eV/atom

a b c (Å): 5.0525 5.0525 4.9808
angles (deg): 90.00 90.00 90.00
Closest atoms and distances in Å follow each position.
Space group P4/mmm (No. 123)
Asymmetric unit:
Ba  0.0000  0.0000  0.0000 x1  8 Mn 3.55, 4 Co 3.57
Mn  0.0000  0.5000  0.5000 x2  2 Au 2.53
Co  0.5000  0.5000  0.0000 x1  2 Au 2.49
Au  0.5000  0.5000  0.5000 x1  2 Co 2.49, 4 Mn 2.53

(6)
Compound: BaCo2MoAu
Source: the Alexandria database
Functional: PBE
Structure: relaxed

**N(E_F)**: 6.4 states/eV per cell
**E_tot**: -24.29 eV per cell
**Energy relative to the elements**: 1.1898 eV/atom

a b c (Å): 4.5054 4.5054 6.1461
angles (deg): 90.00 90.00 90.00
Closest atoms and distances in Å follow each position.
Space group P4/mmm (No. 123)
Asymmetric unit:
Ba  0.0000  0.0000  0.0000 x1  2 Mo 3.07, 4 Au 3.19
Co  0.0000  0.5000  0.5000 x2  2 Mo 2.25
Mo  0.0000  0.0000  0.5000 x1  4 Co 2.25
Au  0.5000  0.5000  0.0000 x1  4 Ba 3.19

(7)
Compound: BaCoOsAu2
Source: the Alexandria database
Functional: PBE
Structure: relaxed

**N(E_F)**: 7.3 states/eV per cell
**E_tot**: -20.21 eV per cell
**Energy relative to the elements**: 1.3215 eV/atom

a b c (Å): 4.8665 4.8665 5.4031
angles (deg): 90.00 90.00 90.00
Closest atoms and distances in Å follow each position.
Space group P4/mmm (No. 123)
Asymmetric unit:
Ba  0.0000  0.0000  0.0000 x1  2 Co 2.70
Co  0.0000  0.0000  0.5000 x1  4 Au 2.43, 2 Ba 2.70
Os  0.5000  0.5000  0.0000 x1  4 Ba 3.44, 8 Au 3.64
Au  0.0000  0.5000  0.5000 x2  2 Co 2.43

(8)
Compound: BaCoPAu
Source: the Alexandria database
Functional: PBE
Structure: relaxed

**N(E_F)**: 5.3 states/eV per cell
**E_tot**: -41.05 eV per cell
**Energy relative to the elements**: -0.7026 eV/atom

a b c (Å): 3.9083 3.9083 11.4981
angles (deg): 90.00 90.00 90.00
Closest atoms and distances in Å follow each position.
Space group P4/nmm (No. 129, origin choice 2)
Asymmetric unit:
Ba  0.2500  0.2500  0.2482 x2  4 P 3.29, 4 Au 3.46, 4 Co 3.49
Co  0.2500  0.7500  0.5000 x2  4 P 2.25
P  0.2500  0.2500  0.5964 x2  4 Co 2.25
Au  0.2500  0.7500  0.0000 x2  4 Au 2.76

(9)
Compound: BaCo2PtAu
Source: the Alexandria database
Functional: PBE
Structure: relaxed

**N(E_F)**: 6.3 states/eV per cell
**E_tot**: -22.58 eV per cell
**Energy relative to the elements**: 0.5746 eV/atom

a b c (Å): 4.8085 4.8085 5.2643
angles (deg): 90.00 90.00 90.00
Closest atoms and distances in Å follow each position.
Space group P4/mmm (No. 123)
Asymmetric unit:
Ba  0.0000  0.0000  0.0000 x1  4 Pt 3.40, 8 Co 3.56
Co  0.0000  0.5000  0.5000 x2  2 Au 2.40
Pt  0.5000  0.5000  0.0000 x1  2 Au 2.63
Au  0.5000  0.5000  0.5000 x1  4 Co 2.40, 2 Pt 2.63

(10)
Compound: Ba2CoAuS
Source: the Alexandria database
Functional: PBE
Structure: relaxed

**N(E_F)**: 3.7 states/eV per cell
**E_tot**: -17.65 eV per cell
**Uncorrected formation energy**: 0.142 eV/atom

a b c (Å): 6.2221 6.2221 4.9126
angles (deg): 90.00 90.00 90.00
Closest atoms and distances in Å follow each position.
Space group P4/mmm (No. 123)
Asymmetric unit:
Ba  0.0000  0.5000  0.0000 x2  2 Au 3.11
Co  0.0000  0.0000  0.5000 x1  8 Ba 3.96, 4 S 4.40
Au  0.5000  0.5000  0.0000 x1  2 S 2.46
S  0.5000  0.5000  0.5000 x1  2 Au 2.46

(11)
Compound: Ba2CrAu
Source: the Alexandria database
Functional: PBE
Structure: relaxed

**N(E_F)**: 19.8 states/eV per cell
**E_tot**: -65.12 eV per cell
**Energy relative to the elements**: 0.1168 eV/atom

a b c (Å): 8.1941 8.1941 8.1941
angles (deg): 90.00 90.00 90.00
Closest atoms and distances in Å follow each position.
Space group Fm-3m (No. 225)
Asymmetric unit:
Ba  0.2500  0.2500  0.2500 x8  4 Cr 3.55, 4 Au 3.55
Cr  0.0000  0.0000  0.0000 x4  8 Ba 3.55
Au  0.0000  0.0000  0.5000 x4  8 Ba 3.55

(12)
Compound: BaCrAu2
Source: the Alexandria database
Functional: PBE
Structure: relaxed

**N(E_F)**: 7.9 states/eV per cell
**E_tot**: -72.35 eV per cell
**Energy relative to the elements**: 0.0036 eV/atom

a b c (Å): 7.4799 7.4799 7.4799
angles (deg): 90.00 90.00 90.00
Closest atoms and distances in Å follow each position.
Space group Fm-3m (No. 225)
Asymmetric unit:
Ba  0.0000  0.0000  0.0000 x4  8 Au 3.24
Cr  0.0000  0.0000  0.5000 x4  8 Au 3.24
Au  0.2500  0.2500  0.2500 x8  4 Cr 3.24, 4 Ba 3.24